BaAcSbAu after structural relaxation, computed with PBE-GGA.

```
data_BaAcSbAu
_chemical_formula_sum 'Ba1 Ac1 Sb1 Au1'
_symmetry_space_group_name_H-M 'P 1'
_symmetry_Int_Tables_number 1
_cell_length_a 5.757
_cell_length_b 5.757
_cell_length_c 5.757
_cell_angle_alpha 60.00
_cell_angle_beta 60.00
_cell_angle_gamma 60.00
loop_
_symmetry_equiv_pos_as_xyz
'x,y,z'
loop_
_atom_site_label
_atom_site_type_symbol
_atom_site_fract_x
_atom_site_fract_y
_atom_site_fract_z
Au1 Au 0.000 0.000 0.000
Sb1 Sb 0.500 0.500 0.500
Ba1 Ba 0.250 0.250 0.250
Ac1 Ac 0.750 0.750 0.750
```

Summary:
theoretical density	8.40	Mg/m³
DFT total energy	-4.167	eV per atom